Entry P
BaNdGd: relaxed, GGA-PBE.

a b c (Å): 3.8064 3.8064 8.8368
angles (deg): 102.44 102.44 90.00
Element x y z (fractional)
Gd 0.3181 0.3181 0.6363
Nd 0.6816 0.6816 0.3632
Ba 0.0002 0.0002 0.0005

Results
Total moment ... 2.5675 μB/atom
Space group ... No. 107

Entry Q
BaNdGd: relaxed, GGA-PBE.

a b c (Å): 3.8259 3.8259 9.5010
angles (deg): 90.00 90.00 120.00
Element x y z (fractional)
Gd 0.6667 0.3333 0.3535
Nd 0.3333 0.6667 0.6448
Ba 0.0000 0.0000 0.0017

Results
Total moment ... 2.5218 μB/atom
Space group ... No. 156

Which structure is the least stable? The one labeled entry Q.

Entry P
BaNd2Gd: relaxed, GGA-PBE.

a b c (Å): 3.7868 3.7868 10.8982
angles (deg): 90.00 90.00 90.00
Element x y z (fractional)
Gd 0.5000 0.5000 0.0000
Nd 0.0000 0.0000 0.7820
Nd 0.0000 0.0000 0.2180
Ba 0.5000 0.5000 0.5000

Results
Total moment ... 1.8478 μB/atom
Space group ... No. 123

Entry Q
BaNd2Gd: relaxed, GGA-PBE.

a b c (Å): 5.3864 5.3437 5.3437
angles (deg): 90.00 90.00 90.00
Element x y z (fractional)
Gd 0.5000 0.0000 0.0000
Nd 0.0000 0.0000 0.5000
Nd 0.0000 0.5000 0.0000
Ba 0.5000 0.5000 0.5000

Results
Total moment ... 1.9377 μB/atom
Space group ... No. 123

Entry R
BaNd2Gd: relaxed, GGA-PBE.

a b c (Å): 3.7716 3.7716 12.7467
angles (deg): 81.49 81.49 60.00
Element x y z (fractional)
Gd 0.5000 0.5000 0.5000
Nd 0.2428 0.2428 0.2715
Nd 0.7572 0.7572 0.7285
Ba 0.0000 0.0000 0.0000

Results
Total moment ... 1.8230 μB/atom
Space group ... No. 166

Which structure is the least stable? The one labeled entry Q.

Entry P
BaNdGd2: relaxed, GGA-PBE.

a b c (Å): 3.7428 3.7428 10.9507
angles (deg): 90.00 90.00 90.00
Element x y z (fractional)
Gd 0.0000 0.0000 0.7815
Gd 0.0000 0.0000 0.2185
Nd 0.5000 0.5000 0.0000
Ba 0.5000 0.5000 0.5000

Results
Total moment ... 3.7730 μB/atom
Space group ... No. 123

Entry Q
BaNdGd2: relaxed, GGA-PBE.

a b c (Å): 3.6683 3.6683 13.1482
angles (deg): 81.98 81.98 60.00
Element x y z (fractional)
Gd 0.0928 0.0928 0.7217
Gd 0.9072 0.9072 0.2783
Nd 0.5000 0.5000 0.5000
Ba 0.0000 0.0000 0.0000

Results
Total moment ... 3.7517 μB/atom
Space group ... No. 166

Which structure is the least stable? The one labeled entry Q.

Entry P
BaSrGdSbO6: relaxed, GGA-PBE.

a b c (Å): 6.0234 6.0234 6.0234
angles (deg): 60.00 60.00 60.00
Element x y z (fractional)
Ba 0.7500 0.7500 0.7500
Sr 0.2500 0.2500 0.2500
Gd 0.0000 0.0000 0.0000
Sb 0.5000 0.5000 0.5000
O 0.2645 0.7355 0.2645
O 0.7355 0.2645 0.7355
O 0.2645 0.7355 0.7355
O 0.7355 0.2645 0.2645
O 0.2645 0.2645 0.7355
O 0.7355 0.7355 0.2645

Results
Total moment ... 0.6979 μB/atom
Space group ... No. 216

Entry Q
BaSrGdSbO6: relaxed, GGA-PBE.

a b c (Å): 6.0041 6.0031 8.4788
angles (deg): 90.22 90.22 89.82
Element x y z (fractional)
Ba 0.5048 0.5130 0.2497
Ba 0.4952 0.4870 0.7503
Sr 0.9982 0.0209 0.2511
Sr 0.0018 0.9791 0.7489
Gd 0.0000 0.5000 0.0000
Gd 0.5000 0.0000 0.5000
Sb 0.5000 0.0000 0.0000
Sb 0.0000 0.5000 0.5000
O 0.2414 0.2096 0.9574
O 0.2591 0.7115 0.5167
O 0.7586 0.7904 0.0426
O 0.7409 0.2885 0.4833
O 0.2852 0.7444 0.9782
O 0.2028 0.2348 0.5409
O 0.7148 0.2556 0.0218
O 0.7972 0.7652 0.4591
O 0.4325 0.0143 0.2340
O 0.0484 0.4620 0.2657
O 0.5675 0.9857 0.7660
O 0.9516 0.5380 0.7343

Results
Total moment ... 0.6944 μB/atom
Space group ... No. 2

Which structure is the least stable? The one labeled entry P.

Entry P
BaPrGd: relaxed, GGA-PBE.

a b c (Å): 3.8375 3.8375 9.5350
angles (deg): 90.00 90.00 120.00
Element x y z (fractional)
Pr 0.3333 0.6667 0.6446
Gd 0.6667 0.3333 0.3526
Ba 0.0000 0.0000 0.0028

Results
Total moment ... 2.5250 μB/atom
Space group ... No. 156

Entry Q
BaPrGd: relaxed, GGA-PBE.

a b c (Å): 3.8153 3.8153 8.8729
angles (deg): 102.42 102.42 90.00
Element x y z (fractional)
Pr 0.6816 0.6816 0.3633
Gd 0.3186 0.3186 0.6371
Ba 0.9998 0.9998 0.9996

Results
Total moment ... 2.5688 μB/atom
Space group ... No. 107

Which structure is the least stable? The one labeled entry P.

Entry P
BaGdPt2: relaxed, GGA-PBE.

a b c (Å): 4.7204 4.7204 6.4524
angles (deg): 68.54 68.54 60.00
Element x y z (fractional)
Gd 0.0000 0.0000 0.0000
Ba 0.5000 0.5000 0.5000
Pt 0.2837 0.2837 0.1488
Pt 0.7163 0.7163 0.8512

Results
Total moment ... 1.7814 μB/atom
Space group ... No. 166

Entry Q
BaGdPt2: relaxed, GGA-PBE.

a b c (Å): 3.6526 3.6526 7.5702
angles (deg): 90.00 90.00 90.00
Element x y z (fractional)
Gd 0.5000 0.5000 0.0000
Ba 0.5000 0.5000 0.5000
Pt 0.0000 0.0000 0.7991
Pt 0.0000 0.0000 0.2009

Results
Total moment ... 1.7890 μB/atom
Space group ... No. 123

Which structure is the least stable? The one labeled entry P.

Entry P
BaSrGd: relaxed, GGA-PBE.

a b c (Å): 4.0484 4.0484 9.2236
angles (deg): 102.68 102.68 90.00
Element x y z (fractional)
Sr 0.0124 0.0124 0.0248
Gd 0.6661 0.6661 0.3322
Ba 0.3215 0.3215 0.6429

Results
Total moment ... 2.7468 μB/atom
Space group ... No. 107

Entry Q
BaSrGd: relaxed, GGA-PBE.

a b c (Å): 4.0626 4.0626 9.9636
angles (deg): 90.00 90.00 120.00
Element x y z (fractional)
Sr 0.6667 0.3333 0.3123
Gd 0.0000 0.0000 0.0022
Ba 0.3333 0.6667 0.6855

Results
Total moment ... 2.7031 μB/atom
Space group ... No. 156

Which structure is the least stable? The one labeled entry Q.